[1]
CoNi3Pt6 PBE-GGA optimized geometry; formation energy = -44 kJ/mol of formula units
1.0
-0.4371 -0.5671 -4.3741
-5.4962 -4.4432 1.1252
-2.5553 9.3008 -0.9505
Co Ni Pt
2 6 12
Direct
0.2500 0.9657 0.5667 Co
0.7500 0.0343 0.4333 Co
0.2500 0.5637 0.3692 Ni
0.7500 0.4363 0.6308 Ni
0.2500 0.3714 0.7691 Ni
0.7500 0.6286 0.2309 Ni
0.2500 0.7642 0.9666 Ni
0.7500 0.2358 0.0334 Ni
0.2500 0.4695 0.0710 Pt
0.7500 0.5305 0.9290 Pt
0.2500 0.1642 0.1666 Pt
0.7500 0.8358 0.8334 Pt
0.2500 0.6619 0.6649 Pt
0.7500 0.3381 0.3351 Pt
0.2500 0.2614 0.4785 Pt
0.7500 0.7386 0.5215 Pt
0.2500 0.8581 0.2783 Pt
0.7500 0.1419 0.7217 Pt
0.2500 0.0722 0.8631 Pt
0.7500 0.9278 0.1369 Pt

=====

[2]
Co3Ni6Pt PBE-GGA optimized geometry; formation energy = 0 kJ/mol of formula units
1.0
4.1157 0.0000 0.0000
0.0000 6.2018 -2.5926
0.0000 -0.3373 9.1558
Co Ni Pt
6 12 2
Direct
0.2500 0.5615 0.3599 Co
0.7500 0.4385 0.6401 Co
0.2500 0.3782 0.7719 Co
0.7500 0.6218 0.2281 Co
0.2500 0.7630 0.9639 Co
0.7500 0.2370 0.0361 Co
0.2500 0.4643 0.0637 Ni
0.7500 0.5357 0.9363 Ni
0.2500 0.1671 0.1661 Ni
0.7500 0.8329 0.8339 Ni
0.2500 0.6625 0.6719 Ni
0.7500 0.3375 0.3281 Ni
0.2500 0.2838 0.4680 Ni
0.7500 0.7162 0.5320 Ni
0.2500 0.8539 0.2518 Ni
0.7500 0.1461 0.7482 Ni
0.2500 0.0684 0.8773 Ni
0.7500 0.9316 0.1227 Ni
0.2500 0.9643 0.5762 Pt
0.7500 0.0357 0.4238 Pt

=====

[3]
CoNi2Pt PBE-GGA optimized geometry; formation energy = -24 kJ/mol of formula units
1.0
-1.7246 3.9555 1.2076
-2.1507 -0.4500 3.9052
4.1230 -1.1873 -1.2877
Ni Co Pt
2 1 1
Direct
0.0000 0.0000 0.0000 Ni
0.5000 0.5000 0.0000 Ni
0.7500 0.2500 0.5000 Co
0.2500 0.7500 0.5000 Pt

=====

[4]
Co2Ni4Pt3 PBE-GGA optimized geometry; formation energy = -76 kJ/mol of formula units
1.0
-0.8931 -0.1421 -3.5267
4.7975 -3.3079 -1.0816
-3.7714 -3.3487 2.9693
Co Ni Pt
2 4 3
Direct
0.3278 0.9978 0.6556 Co
0.6722 0.0022 0.3444 Co
0.5595 0.3303 0.1189 Ni
0.7803 0.6730 0.5606 Ni
0.4405 0.6697 0.8811 Ni
0.2197 0.3270 0.4394 Ni
0.8829 0.3343 0.7659 Pt
0.1171 0.6657 0.2341 Pt
0.0000 0.0000 0.0000 Pt

=====

[5]
Co3Ni2Pt5 PBE-GGA optimized geometry; formation energy = 138 kJ/mol of formula units
1.0
4.5029 0.2886 -0.1291
1.8412 3.7377 1.2133
-2.1481 -1.3968 8.6468
Co Ni Pt
3 2 5
Direct
0.5000 0.5000 0.5000 Co
0.0258 0.7514 0.2654 Co
0.9742 0.2486 0.7346 Co
0.3918 0.0799 0.2433 Ni
0.6082 0.9201 0.7567 Ni
0.0000 0.0000 0.0000 Pt
0.1298 0.1886 0.4579 Pt
0.8702 0.8114 0.5421 Pt
0.6417 0.4590 0.1584 Pt
0.3583 0.5410 0.8416 Pt

=====

[6]
CoNiPt2 PBE-GGA optimized geometry; formation energy = -40 kJ/mol of formula units
1.0
4.5712 0.0023 -0.0136
1.3561 4.3654 0.0136
-2.9564 -2.1937 2.7099
Ni Co Pt
1 1 2
Direct
0.7500 0.2500 0.5000 Ni
0.2500 0.7500 0.5000 Co
0.0000 0.0000 0.0000 Pt
0.5000 0.5000 0.0000 Pt

=====

[7]
Co7Ni3Pt PBE-GGA optimized geometry; formation energy = 113 kJ/mol of formula units
1.0
4.3397 -0.6405 0.4091
-1.0257 4.2651 0.4091
-1.6632 -1.8191 6.9036
Co Ni Pt
7 3 1
Direct
0.8554 0.8554 0.6621 Co
0.9046 0.4118 0.8329 Co
0.5030 0.9239 0.2071 Co
0.4118 0.9046 0.8329 Co
0.3665 0.3665 0.6635 Co
0.9239 0.5030 0.2071 Co
0.3511 0.3511 0.3292 Co
0.8361 0.3049 0.4956 Ni
0.4498 0.4498 0.9973 Ni
0.3049 0.8361 0.4956 Ni
0.9678 0.9678 0.0268 Pt

=====

[8]
CoNi4Pt4 PBE-GGA optimized geometry; formation energy = -42 kJ/mol of formula units
1.0
-3.1394 1.0749 1.6735
-4.6076 -2.1137 -3.1593
-1.5317 -4.2061 3.9549
Co Ni Pt
1 4 4
Direct
0.0000 0.0000 0.0000 Co
0.0000 0.6609 0.3391 Ni
0.0000 0.3391 0.6609 Ni
0.6609 0.3391 0.3391 Ni
0.3391 0.6609 0.6609 Ni
0.3343 0.3314 0.0000 Pt
0.6657 0.6686 0.0000 Pt
0.6657 0.0000 0.6686 Pt
0.3343 0.0000 0.3314 Pt

=====

[9]
Co6Ni8Pt PBE-GGA optimized geometry; formation energy = -5 kJ/mol of formula units
1.0
-2.8046 0.9571 3.1967
-1.6136 -3.1791 2.5080
6.3909 0.4334 8.4490
Co Ni Pt
6 8 1
Direct
0.9313 0.5931 0.2062 Co
0.7306 0.0687 0.7938 Co
0.4069 0.7306 0.7938 Co
0.5931 0.2694 0.2062 Co
0.2694 0.9313 0.2062 Co
0.0687 0.4069 0.7938 Co
0.8007 0.4660 0.5996 Ni
0.8662 0.1993 0.4004 Ni
0.5340 0.8662 0.4004 Ni
0.3334 0.3334 0.9999 Ni
0.6666 0.6666 0.0001 Ni
0.4660 0.1338 0.5996 Ni
0.1338 0.8007 0.5996 Ni
0.1993 0.5340 0.4004 Ni
0.0000 0.0000 0.0000 Pt

=====

[10]
CoNi5Pt4 PBE-GGA optimized geometry; formation energy = 205 kJ/mol of formula units
1.0
3.4468 0.0000 -0.9556
-1.0336 6.5867 -3.7281
0.0335 -0.5434 6.8150
Co Ni Pt
1 5 4
Direct
0.5000 0.0000 0.0000 Co
0.8301 0.3308 0.6601 Ni
0.8334 0.8288 0.6668 Ni
0.1666 0.1712 0.3332 Ni
0.5000 0.5000 0.0000 Ni
0.1699 0.6692 0.3399 Ni
0.3409 0.5898 0.6817 Pt
0.0275 0.7775 0.0549 Pt
0.6591 0.4102 0.3183 Pt
0.9725 0.2225 0.9451 Pt

=====

[11]
Co3Ni2Pt PBE-GGA optimized geometry; formation energy = 46 kJ/mol of formula units
1.0
4.7915 0.0558 0.6224
-0.5195 4.7636 0.6224
0.0109 0.0123 6.3524
Co Ni Pt
6 4 2
Direct
0.8221 0.6415 0.5003 Co
0.3585 0.1779 0.9997 Co
0.1779 0.3585 0.4997 Co
0.6415 0.8221 0.0003 Co
0.5701 0.4299 0.2500 Co
0.4299 0.5701 0.7500 Co
0.1292 0.6209 0.1278 Ni
0.3791 0.8708 0.3722 Ni
0.8708 0.3791 0.8722 Ni
0.6209 0.1292 0.6278 Ni
0.9168 0.0832 0.2500 Pt
0.0832 0.9168 0.7500 Pt

=====

[12]
CoNi8Pt4 PBE-GGA optimized geometry; formation energy = 99 kJ/mol of formula units
1.0
3.6114 0.0000 0.0000
0.0000 3.6394 0.0000
0.0000 0.0000 12.8479
Co Ni Pt
1 8 4
Direct
0.0000 0.0000 0.3215 Co
0.0000 0.0000 0.4892 Ni
0.0000 0.5000 0.9064 Ni
0.5000 0.5000 0.0609 Ni
0.5000 0.0000 0.6218 Ni
0.0000 0.5000 0.2068 Ni
0.0000 0.0000 0.7629 Ni
0.5000 0.0000 0.2068 Ni
0.5000 0.5000 0.7617 Ni
0.0000 0.0000 0.0621 Pt
0.0000 0.5000 0.6183 Pt
0.5000 0.5000 0.3798 Pt
0.5000 0.0000 0.9048 Pt

=====

[13]
CoNiPt2 PBE-GGA optimized geometry; formation energy = 49 kJ/mol of formula units
1.0
4.2675 0.0000 0.0000
2.1338 3.6958 0.0000
2.1338 1.2319 3.5401
Co Ni Pt
1 1 2
Direct
0.4959 0.4959 0.5124 Co
0.7536 0.7536 0.7391 Ni
0.0024 0.0024 0.9929 Pt
0.2482 0.2482 0.2556 Pt

=====

[14]
CoNiPt2 PBE-GGA optimized geometry; formation energy = -27 kJ/mol of formula units
1.0
2.6959 0.0000 0.0000
0.0000 3.7444 0.0000
0.0000 0.0000 5.3868
Ni Co Pt
1 1 2
Direct
0.5000 0.5000 0.7426 Ni
0.0000 0.0000 0.5064 Co
0.0000 0.0000 0.9803 Pt
0.5000 0.5000 0.2707 Pt

=====

[15]
CoNi7Pt3 PBE-GGA optimized geometry; formation energy = 118 kJ/mol of formula units
1.0
-1.9279 0.9719 1.4471
0.8795 -8.5667 4.5913
7.8083 4.6892 7.2535
Co Ni Pt
2 14 6
Direct
0.9837 0.9675 0.2500 Co
0.0163 0.0325 0.7500 Co
0.3915 0.7830 0.7500 Ni
0.6085 0.2170 0.2500 Ni
0.5325 0.0649 0.4135 Ni
0.4675 0.9351 0.5865 Ni
0.4675 0.9351 0.9135 Ni
0.5325 0.0649 0.0865 Ni
0.4104 0.8207 0.3944 Ni
0.5896 0.1793 0.6056 Ni
0.2780 0.5560 0.4183 Ni
0.7220 0.4440 0.5817 Ni
0.7220 0.4440 0.9183 Ni
0.2780 0.5560 0.0817 Ni
0.4104 0.8207 0.1056 Ni
0.5896 0.1793 0.8944 Ni
0.1481 0.2961 0.4300 Pt
0.8519 0.7039 0.5700 Pt
0.1666 0.3332 0.7500 Pt
0.8334 0.6668 0.2500 Pt
0.1481 0.2961 0.0700 Pt
0.8519 0.7039 0.9300 Pt

=====

[16]
Co2NiPt8 PBE-GGA optimized geometry; formation energy = -82 kJ/mol of formula units
1.0
-2.8783 -2.1371 -1.4722
3.6601 -4.9397 0.0148
-1.7297 1.0422 6.9698
Co Ni Pt
2 1 8
Direct
0.2284 0.6300 0.4569 Co
0.7716 0.3700 0.5431 Co
0.5000 0.0000 0.0000 Ni
0.5966 0.4556 0.1933 Pt
0.3183 0.0854 0.6366 Pt
0.1400 0.1932 0.2800 Pt
0.0471 0.7319 0.0942 Pt
0.8600 0.8068 0.7200 Pt
0.6817 0.9146 0.3634 Pt
0.4034 0.5444 0.8067 Pt
0.9529 0.2681 0.9058 Pt

=====

[17]
Co6NiPt2 PBE-GGA optimized geometry; formation energy = -45 kJ/mol of formula units
1.0
-0.7002 -2.7695 2.2549
4.4494 -2.9522 -2.2442
2.1996 4.3378 3.0738
Co Ni Pt
6 1 2
Direct
0.3797 0.8241 0.7594 Co
0.6203 0.1759 0.2406 Co
0.7258 0.8277 0.4515 Co
0.1734 0.5006 0.3469 Co
0.2742 0.1723 0.5485 Co
0.8266 0.4994 0.6531 Co
0.5000 0.5000 0.0000 Ni
0.9424 0.1731 0.8848 Pt
0.0576 0.8269 0.1152 Pt

=====

[18]
CoNiPt2 PBE-GGA optimized geometry; formation energy = -28 kJ/mol of formula units
1.0
-3.1290 0.1183 -3.4778
-1.2391 -4.3252 -1.2871
0.2146 2.1386 4.1569
Ni Co Pt
1 1 2
Direct
0.7500 0.2500 0.5000 Ni
0.4999 0.4999 0.0000 Co
0.0001 0.0001 0.0000 Pt
0.2500 0.7500 0.5000 Pt

=====

[19]
Co3Ni3Pt PBE-GGA optimized geometry; formation energy = -21 kJ/mol of formula units
1.0
-2.4592 1.2229 3.1050
4.1466 -2.9575 4.4490
0.9818 6.4543 -1.7644
Co Ni Pt
6 6 2
Direct
0.7500 0.6215 0.5285 Co
0.7500 0.4715 0.0930 Co
0.7500 0.9070 0.3785 Co
0.2500 0.3785 0.4715 Co
0.2500 0.5285 0.9070 Co
0.2500 0.0930 0.6215 Co
0.2500 0.8088 0.7694 Ni
0.2500 0.2306 0.0394 Ni
0.2500 0.9606 0.1912 Ni
0.7500 0.1912 0.2306 Ni
0.7500 0.7694 0.9606 Ni
0.7500 0.0394 0.8088 Ni
0.2500 0.6667 0.3333 Pt
0.7500 0.3333 0.6667 Pt

=====

[20]
CoNiPt2 PBE-GGA optimized geometry; formation energy = -24 kJ/mol of formula units
1.0
-1.9840 -0.9380 -1.5806
-0.9109 -1.5177 2.0448
-4.3529 5.5425 2.1745
Ni Co Pt
1 1 2
Direct
0.5000 0.5000 0.7310 Ni
0.0000 0.0000 0.5174 Co
0.0000 0.0000 0.9808 Pt
0.5000 0.5000 0.2708 Pt